A crystal of TaBeRu relaxed with PBEsol, computed with SCAN.

Summary:
- E (eV per atom) = -35.26
- crystal system = trigonal
- total moment (μB per formula unit) = 0.0
- energy of formation (meV per atom) = -1
- density (g/cm3) = 12.00
- symmetry = P3m1

Cell and atoms, written as POSCAR:
```
TaBeRu
1.0
-0.029 -0.631 -2.904
-2.245 -0.882 1.735
-2.518 4.526 -0.957
Ru Be Ta
1 1 1
direct
0.333 0.667 0.708
0.000 0.000 0.978
0.667 0.333 0.314
```